! PBE-GGA YB2Rh6, optimized geometry; values from VASP
! symmetry	Fd-3m
! ΔE_f	-83	meV per atom
&SYSTEM
  ibrav = 0, nat = 18, ntyp = 3
/
ATOMIC_SPECIES
B 10.81 B.upf
Rh 102.91 Rh.upf
Y 88.91 Y.upf
CELL_PARAMETERS angstrom
7.440 0.000 0.000
3.720 6.444 0.000
3.720 2.148 6.075
ATOMIC_POSITIONS crystal
B 0.125 0.125 0.125
Rh 0.791 0.209 0.209
Rh 0.041 0.459 0.459
Rh 0.209 0.791 0.209
Rh 0.209 0.209 0.791
B 0.125 0.125 0.625
Rh 0.209 0.791 0.791
Rh 0.791 0.791 0.209
B 0.625 0.125 0.125
Rh 0.459 0.041 0.041
Rh 0.041 0.459 0.041
Rh 0.459 0.041 0.459
Y 0.500 0.500 0.500
B 0.125 0.625 0.125
Y 0.750 0.750 0.750
Rh 0.791 0.209 0.791
Rh 0.041 0.041 0.459
Rh 0.459 0.459 0.041



! PBE-GGA YPtSe2, optimized geometry; values from VASP
! symmetry	P4mm
! formation energy from raw total energies	-4.09	eV per formula unit
&SYSTEM
  ibrav = 0, nat = 4, ntyp = 3
/
ATOMIC_SPECIES
Se 78.96 Se.upf
Y 88.91 Y.upf
Pt 195.08 Pt.upf
CELL_PARAMETERS angstrom
3.860 0.000 0.000
0.000 3.860 0.000
0.000 0.000 5.749
ATOMIC_POSITIONS crystal
Se 0.000 0.000 0.911
Y 0.000 0.000 0.452
Se 0.500 0.500 0.313
Pt 0.500 0.500 0.824



! PBE-GGA Re2AgH, optimized geometry; values from VASP
! symmetry	I4_1/amd
&SYSTEM
  ibrav = 0, nat = 8, ntyp = 3
/
ATOMIC_SPECIES
Re 186.21 Re.upf
Ag 107.87 Ag.upf
H 1.01 H.upf
CELL_PARAMETERS angstrom
5.065 0.000 0.000
0.000 5.065 0.000
2.533 2.533 4.534
ATOMIC_POSITIONS crystal
Re 0.376 0.125 0.250
Ag 0.750 0.250 0.500
Re 0.374 0.625 0.250
Ag 0.000 0.000 0.000
Re 0.375 0.624 0.750
H 0.250 0.750 0.500
H 0.500 0.500 0.000
Re 0.875 0.626 0.750



Number 1: E -129.3 eV for the cell shown, DOS(E_F) 1.56 states/eV/atom. Number 2: E -23.6 eV for the cell shown, DOS(E_F) 0.33 states/eV/atom. Number 3: E -53.6 eV for the cell shown, DOS(E_F) 0.79 states/eV/atom.